1.
VASP calculation (GGA-PBE) on a relaxed structure of Ac2TmRuO6.

```
Ac2TmRuO6
1.0
5.801 0.000 0.000
0.000 8.318 0.000
0.000 0.000 6.004
Ac Tm Ru O
4 2 2 12
Direct
0.250 0.015 0.222
0.250 0.485 0.222
0.750 0.515 0.778
0.750 0.985 0.778
0.250 0.250 0.728
0.750 0.750 0.272
0.250 0.750 0.767
0.750 0.250 0.233
0.002 0.250 0.466
0.002 0.750 0.006
0.250 0.506 0.779
0.250 0.994 0.779
0.498 0.250 0.466
0.498 0.750 0.006
0.502 0.250 0.994
0.502 0.750 0.534
0.750 0.006 0.221
0.750 0.494 0.221
0.998 0.250 0.994
0.998 0.750 0.534
```

Summary:
E	-7.854	eV per atom
volume	290	Å³/cell

=====

2.
VASP calculation (GGA-PBE) on a relaxed structure of TaAsPdSe2.

```
TaAsPdSe2
1.0
4.813 0.000 0.000
0.000 4.813 0.000
0.000 0.000 5.055
Ta As Pd Se
1 1 1 2
Direct
0.000 0.000 0.000
0.500 0.500 0.000
0.000 0.000 0.500
0.000 0.500 0.500
0.500 0.000 0.500
```

Summary:
E	-4.721	eV per atom
volume	117	Å³/cell

=====

3.
VASP calculation (GGA-PBE) on a relaxed structure of Ca2TmTl3.

```
Ca2TmTl3
1.0
3.825 0.000 0.000
0.000 3.825 0.000
0.000 0.000 11.629
Ca Tm Tl
2 1 3
Direct
0.000 0.000 0.169
0.000 0.000 0.831
0.000 0.000 0.500
0.500 0.500 0.000
0.500 0.500 0.342
0.500 0.500 0.658
```

Summary:
E	-2.986	eV per atom
volume	170	Å³/cell
calculated formation energy	-390	meV per atom

=====

4.
VASP calculation (GGA-PBE) on a relaxed structure of NaTa2Au.

```
NaTa2Au
1.0
7.854 0.000 0.000
0.000 7.854 0.000
0.000 0.000 5.355
Na Ta Au
4 8 4
Direct
0.000 0.000 0.000
0.000 0.500 0.250
0.500 0.000 0.750
0.500 0.500 0.500
0.216 0.250 0.625
0.250 0.716 0.875
0.250 0.784 0.375
0.284 0.250 0.125
0.716 0.750 0.125
0.750 0.216 0.375
0.750 0.284 0.875
0.784 0.750 0.625
0.000 0.000 0.500
0.000 0.500 0.750
0.500 0.000 0.250
0.500 0.500 0.000
```

Summary:
E	-6.148	eV per atom
volume	330	Å³/cell
calculated formation energy	927	meV per atom

=====

5.
VASP calculation (GGA-PBE) on a relaxed structure of La3Pr2Ga4.

```
La3Pr2Ga4
1.0
8.416 0.000 0.000
0.000 8.394 0.000
-2.081 0.000 7.365
La Pr Ga
6 4 8
Direct
0.000 0.000 0.000
0.000 0.500 0.500
0.264 0.178 0.749
0.264 0.322 0.249
0.736 0.678 0.751
0.736 0.822 0.251
0.313 0.686 0.928
0.313 0.814 0.428
0.687 0.186 0.572
0.687 0.314 0.072
0.016 0.622 0.114
0.016 0.878 0.614
0.423 0.028 0.134
0.423 0.472 0.634
0.577 0.528 0.366
0.577 0.972 0.866
0.984 0.122 0.386
0.984 0.378 0.886
```

Summary:
E	-4.557	eV per atom
volume	520	Å³/cell
calculated formation energy	-507	meV per atom

=====

6.
VASP calculation (GGA-PBE) on a relaxed structure of PrZn4Au6.

```
PrZn4Au6
1.0
-3.386 3.386 4.861
3.386 -3.386 4.861
3.386 3.386 -4.861
Pr Zn Au
1 4 6
Direct
0.000 0.000 0.000
0.244 0.244 0.683
0.438 0.756 0.000
0.562 0.562 0.317
0.756 0.438 0.000
0.000 0.500 0.500
0.111 0.533 0.000
0.467 0.467 0.578
0.500 0.000 0.500
0.533 0.111 0.000
0.889 0.889 0.422
```

Summary:
E	-2.918	eV per atom
volume	223	Å³/cell
calculated formation energy	-232	meV per atom

=====

7.
VASP calculation (GGA-PBE) on a relaxed structure of Pr2NdHo5Tm.

```
Pr2NdHo5Tm
1.0
-4.355 4.355 7.794
4.355 -4.355 7.794
4.355 4.355 -7.794
Pr Nd Ho Tm
4 2 10 2
Direct
0.118 0.618 0.735
0.382 0.118 0.500
0.618 0.882 0.500
0.882 0.382 0.265
0.250 0.250 0.000
0.750 0.750 0.000
0.000 0.000 0.000
0.072 0.149 0.500
0.149 0.649 0.077
0.351 0.428 0.500
0.428 0.928 0.077
0.500 0.500 0.000
0.572 0.072 0.923
0.649 0.572 0.500
0.851 0.351 0.923
0.928 0.851 0.500
0.250 0.750 0.500
0.750 0.250 0.500
```

Summary:
E	-4.363	eV per atom
volume	591	Å³/cell
calculated formation energy	269	meV per atom

=====

8.
VASP calculation (GGA-PBE) on a relaxed structure of TiSnPtI2.

```
TiSnPtI2
1.0
5.782 0.000 0.000
0.000 5.782 0.000
0.000 0.000 5.454
Ti Sn Pt I
1 1 1 2
Direct
0.000 0.000 0.000
0.000 0.000 0.500
0.500 0.500 0.000
0.000 0.500 0.500
0.500 0.000 0.500
```

Summary:
E	-2.919	eV per atom
volume	182	Å³/cell

=====

9.
VASP calculation (GGA-PBE) on a relaxed structure of ZnTe2Pt.

```
ZnTe2Pt
1.0
3.868 0.000 0.000
0.000 6.528 0.000
0.000 0.000 8.025
Zn Te Pt
2 4 2
Direct
0.000 0.000 0.000
0.500 0.500 0.500
0.000 0.500 0.224
0.000 0.500 0.776
0.500 0.000 0.276
0.500 0.000 0.724
0.000 0.000 0.500
0.500 0.500 0.000
```

Summary:
E	-3.312	eV per atom
volume	203	Å³/cell

=====

10.
VASP calculation (GGA-PBE) on a relaxed structure of Nd2CuS2O.

```
Nd2CuS2O
1.0
3.829 0.000 0.000
0.000 3.829 0.000
0.000 0.000 13.783
Nd Cu S O
2 1 2 1
Direct
0.000 0.000 0.155
0.000 0.000 0.845
0.000 0.000 0.500
0.000 0.000 0.350
0.000 0.000 0.650
0.000 0.000 0.000
```

Summary:
E	-4.964	eV per atom
volume	202	Å³/cell

=====

11.
VASP calculation (GGA-PBE) on a relaxed structure of Sb3TeOs.

```
Sb3TeOs
1.0
5.188 0.000 0.000
0.000 5.188 0.000
0.000 0.000 5.188
Sb Te Os
3 1 1
Direct
0.000 0.000 0.500
0.000 0.500 0.000
0.500 0.000 0.000
0.500 0.500 0.500
0.000 0.000 0.000
```

Summary:
E	-4.842	eV per atom
volume	140	Å³/cell

=====

12.
VASP calculation (GGA-PBE) on a relaxed structure of KCaNO2.

```
KCaNO2
1.0
4.618 0.000 0.000
0.000 4.618 0.000
0.000 0.000 4.638
K Ca N O
1 1 1 2
Direct
0.000 0.000 0.000
0.500 0.500 0.500
0.000 0.000 0.500
0.000 0.500 0.000
0.500 0.000 0.000
```

Summary:
E	-3.771	eV per atom
volume	99	Å³/cell